Entry from the Alexandria database: YFe2Au after structural relaxation (PBE).

```
data_YFe2Au
_space_group_name_H-M_alt 'P 4/m m m'
_space_group_IT_number 123
_space_group_name_Hall '-P 4 2'
_cell_length_a 4.0936
_cell_length_b 4.0936
_cell_length_c 4.0309
_cell_angle_alpha 90.00
_cell_angle_beta 90.00
_cell_angle_gamma 90.00
loop_
_atom_site_label
_atom_site_fract_x
_atom_site_fract_y
_atom_site_fract_z
_atom_site_occupancy
Y1 0.0000 0.0000 0.0000 1
Fe1 0.0000 0.5000 0.5000 1
Au1 0.5000 0.5000 0.0000 1
```

Properties
* formation enthalpy at 0 K: 0.063 eV/atom
* volume: 16.89 A^3/atom